1.
# Ba2VSe5 PBE optimized geometry
# Calculated total energy, eV/atom: -5.022
data_Ba2VSe5
_chemical_formula_sum 'Ba4 V2 Se10'
_cell_length_a 11.834
_cell_length_b 7.087
_cell_length_c 7.546
_cell_angle_alpha 90.00
_cell_angle_beta 128.28
_cell_angle_gamma 90.00
_symmetry_space_group_name_H-M 'C 1 m 1'
_symmetry_Int_Tables_number 8
_symmetry_space_group_name_Hall 'C -2y'
loop_
_atom_site_label
_atom_site_type_symbol
_atom_site_fract_x
_atom_site_fract_y
_atom_site_fract_z
Ba1 Ba 0.000 0.000 0.000
Ba2 Ba 0.007 0.500 0.502
V1 V 0.194 0.500 0.145
Se1 Se 0.259 0.247 0.020
Se2 Se 0.260 0.300 0.474
Se3 Se 0.454 0.000 0.910

---

2.
# Be2Ag2F7 PBE optimized geometry
# Calculated total energy, eV/atom: -4.660
data_Be2Ag2F7
_chemical_formula_sum 'Be4 Ag4 F14'
_cell_length_a 7.266
_cell_length_b 9.240
_cell_length_c 4.603
_cell_angle_alpha 90.00
_cell_angle_beta 105.52
_cell_angle_gamma 90.00
_symmetry_space_group_name_H-M 'C 1 2/m 1'
_symmetry_Int_Tables_number 12
_symmetry_space_group_name_Hall '-C 2y'
loop_
_atom_site_label
_atom_site_type_symbol
_atom_site_fract_x
_atom_site_fract_y
_atom_site_fract_z
Be1 Be 0.197 0.000 0.419
Ag1 Ag 0.000 0.302 0.000
F1 F 0.000 0.000 0.500
F2 F 0.138 0.500 0.274
F3 F 0.217 0.139 0.240

---

3.
# LiAcNi2P2 PBE optimized geometry
# Calculated total energy, eV/atom: -5.599
data_LiAcNi2P2
_chemical_formula_sum 'Li1 Ac1 Ni2 P2'
_cell_length_a 3.9894
_cell_length_b 3.9894
_cell_length_c 6.9803
_cell_angle_alpha 90.00
_cell_angle_beta 90.00
_cell_angle_gamma 120.00
_symmetry_space_group_name_H-M 'P -3 m 1'
_symmetry_Int_Tables_number 164
_symmetry_space_group_name_Hall '-P 3 2"'
loop_
_atom_site_label
_atom_site_type_symbol
_atom_site_fract_x
_atom_site_fract_y
_atom_site_fract_z
Li1 Li 0.0000 0.0000 0.0000
Ac1 Ac 0.0000 0.0000 0.5000
Ni1 Ni 0.3333 0.6667 0.1375
P1 P 0.3333 0.6667 0.8031

---

4.
# Ti2Al3Cu4 PBE optimized geometry
# Calculated total energy, eV/atom: -5.023
data_Ti2Al3Cu4
_chemical_formula_sum 'Ti8 Al12 Cu16'
_cell_length_a 5.206
_cell_length_b 14.685
_cell_length_c 6.862
_cell_angle_alpha 90.00
_cell_angle_beta 90.00
_cell_angle_gamma 90.00
_symmetry_space_group_name_H-M 'C m c e'
_symmetry_Int_Tables_number 64
_symmetry_space_group_name_Hall '-C 2ac 2'
loop_
_atom_site_label
_atom_site_type_symbol
_atom_site_fract_x
_atom_site_fract_y
_atom_site_fract_z
Ti1 Ti 0.000 0.090 0.112
Al1 Al 0.000 0.000 0.500
Al2 Al 0.250 0.244 0.750
Cu1 Cu 0.000 0.165 0.487
Cu2 Cu 0.250 0.074 0.750